(1)
BaAcTeO6 (PBE, relaxed); DOS(E_F) = 7.80 states/eV per cell; DFT total energy = -56.72 eV per cell
1.0
6.0386 0.0008 0.0002
3.0201 5.2283 0.0000
0.0003 -0.0004 5.4834
Ba Ac O Te
1 1 6 1
direct
0.9999 0.9998 0.0000 Ba
0.6666 0.6666 0.5000 Ac
0.6005 0.3344 0.7020 O
0.0648 0.6008 0.7018 O
0.6008 0.0649 0.2982 O
0.0651 0.3344 0.2980 O
0.3343 0.0651 0.7019 O
0.3344 0.6007 0.2981 O
0.3333 0.3334 0.5000 Te


(2)
Ba2AcTeO6 (PBE, relaxed); DOS(E_F) = 7.63 states/eV per cell; DFT total energy = -127.73 eV per cell
1.0
6.2121 0.0000 0.0000
0.0000 6.5845 0.0000
0.0000 0.0000 8.9641
O Ba Te Ac
12 4 2 2
direct
0.7625 0.0038 0.0000 O
0.7455 0.4383 0.5000 O
0.7375 0.9962 0.5000 O
0.5000 0.2140 0.2673 O
0.0000 0.7860 0.2327 O
0.2545 0.4383 0.5000 O
0.2375 0.0038 0.0000 O
0.5000 0.2140 0.7327 O
0.7545 0.5617 0.0000 O
0.2625 0.9962 0.5000 O
0.0000 0.7860 0.7673 O
0.2455 0.5617 0.0000 O
0.0000 0.2053 0.2710 Ba
0.0000 0.2053 0.7290 Ba
0.5000 0.7947 0.7710 Ba
0.5000 0.7947 0.2290 Ba
0.0000 0.7719 0.0000 Te
0.5000 0.2281 0.5000 Te
0.0000 0.7179 0.5000 Ac
0.5000 0.2821 0.0000 Ac


(3)
Ba2AcThO6 (PBE, relaxed); DOS(E_F) = 12.14 states/eV per cell; DFT total energy = -149.90 eV per cell
1.0
-0.8005 0.8556 6.3438
2.1220 -6.1073 1.0914
8.6269 3.1134 0.6484
O Ba Th Ac
12 4 2 2
direct
0.1984 0.2179 0.0570 O
0.2174 0.1994 0.4477 O
0.8016 0.7821 0.9430 O
0.7826 0.8006 0.5523 O
0.5993 0.0386 0.2601 O
0.6984 0.2821 0.5570 O
0.3016 0.7179 0.4430 O
0.9007 0.5386 0.2399 O
0.0993 0.4614 0.7601 O
0.4007 0.9614 0.7399 O
0.2826 0.6994 0.0523 O
0.7174 0.3006 0.9477 O
0.0122 0.9623 0.2507 Ba
0.4878 0.4623 0.2493 Ba
0.5122 0.5377 0.7507 Ba
0.9878 0.0377 0.7493 Ba
0.0000 0.5000 0.0000 Th
0.5000 0.0000 0.5000 Th
0.0000 0.5000 0.5000 Ac
0.5000 0.0000 0.0000 Ac


(4)
BaAcTiO4 (PBE, relaxed); DOS(E_F) = 2.62 states/eV per cell; DFT total energy = -54.73 eV per cell
1.0
-1.9010 3.0350 -1.8439
-3.5300 -1.8433 0.6054
2.0758 2.5427 6.4449
O Ti Ba Ac
4 1 1 1
direct
0.1687 0.1687 0.3375 O
0.4932 0.9932 0.9863 O
0.9932 0.4932 0.9863 O
0.8413 0.8413 0.6826 O
0.0005 0.0005 0.0010 Ti
0.6446 0.6446 0.2892 Ba
0.3586 0.3586 0.7171 Ac


(5)
Ba3Ac3TiO8 (PBE, relaxed); DOS(E_F) = 7.01 states/eV per cell; DFT total energy = -105.53 eV per cell
1.0
-1.7777 6.9328 -1.8241
-4.7980 -4.1806 3.7413
6.2703 2.5650 3.6258
Ti O Ba Ac
1 8 3 3
direct
0.0000 0.0000 0.5000 Ti
0.7410 0.4822 0.7237 O
0.8062 0.6123 0.3248 O
0.7878 0.9816 0.6754 O
0.1938 0.3877 0.6752 O
0.8063 0.0183 0.3246 O
0.2590 0.5178 0.2763 O
0.1937 0.9817 0.6754 O
0.2122 0.0184 0.3246 O
0.0000 0.0000 0.0000 Ba
0.0000 0.5000 0.0000 Ba
0.5000 0.5000 0.0000 Ba
0.0000 0.5000 0.5000 Ac
0.5000 0.5000 0.5000 Ac
0.5000 0.0000 0.5000 Ac


(6)
Ba3AcTi2O9 (PBE, relaxed); DOS(E_F) = 7.42 states/eV per cell; DFT total energy = -113.48 eV per cell
1.0
-4.2526 -2.9863 -2.9303
5.5782 -2.1111 0.1288
-1.6808 -4.0411 6.5576
O Ac Ba Ti
9 1 3 2
direct
0.3535 0.1768 0.7075 O
0.6465 0.8232 0.2925 O
0.1768 0.3535 0.2925 O
0.5000 0.0000 0.0000 O
0.5000 0.5000 0.0000 O
0.0000 0.5000 0.0000 O
0.8232 0.1768 0.7075 O
0.8232 0.6465 0.7075 O
0.1768 0.8232 0.2925 O
0.0000 0.0000 0.5000 Ac
0.0000 0.0000 0.0000 Ba
0.6667 0.3333 0.2683 Ba
0.3333 0.6667 0.7317 Ba
0.6667 0.3333 0.8272 Ti
0.3333 0.6667 0.1728 Ti


(7)
BaAcTlO4 (PBE, relaxed); DFT total energy = -86.19 eV per cell
1.0
-1.7417 6.4678 2.8891
-3.0775 -6.1220 2.6408
7.5570 1.5864 1.0043
Ba O Ac Tl
2 8 2 2
direct
0.1216 0.2432 0.8716 Ba
0.8784 0.7568 0.1284 Ba
0.7516 0.5032 0.3019 O
0.2740 0.9740 0.7370 O
0.3000 0.0260 0.2630 O
0.2484 0.4968 0.6981 O
0.2484 0.4968 0.2987 O
0.7260 0.0260 0.2630 O
0.7000 0.9740 0.7370 O
0.7516 0.5032 0.7013 O
0.5000 0.0000 0.5000 Ac
0.5000 0.0000 0.0000 Ac
0.5000 0.5000 0.5000 Tl
0.0000 0.5000 0.5000 Tl


(8)
BaAc2TlO5 (PBE, relaxed); DOS(E_F) = 6.41 states/eV per cell; DFT total energy = -116.58 eV per cell
1.0
-4.3115 4.9720 0.5198
-5.3300 -4.3989 -2.1338
-1.2607 -1.8133 6.8873
Tl O Ac Ba
2 10 4 2
direct
0.0000 0.0000 0.5000 Tl
0.0000 0.5000 0.0000 Tl
0.5000 0.5000 0.5000 O
0.2573 0.3446 0.1554 O
0.2573 0.8446 0.3446 O
0.5000 0.0000 0.0000 O
0.7427 0.3446 0.1554 O
0.7427 0.8446 0.3446 O
0.2573 0.6554 0.8446 O
0.7427 0.6554 0.8446 O
0.2573 0.1554 0.6554 O
0.7427 0.1554 0.6554 O
0.5000 0.3269 0.8269 Ac
0.5000 0.6731 0.1731 Ac
0.5000 0.8269 0.6731 Ac
0.5000 0.1731 0.3269 Ac
0.0000 0.0000 0.0000 Ba
0.0000 0.5000 0.5000 Ba